Record 1
A plane-wave DFT calculation with GGA-PBE was carried out for a relaxed OsPt crystal.

Cell and atoms, written as CIF:
```
data_OsPt
_chemical_formula_sum 'Os2 Pt2'
_symmetry_space_group_name_H-M 'P 1'
_symmetry_Int_Tables_number 1
_cell_length_a 4.0012
_cell_length_b 4.0012
_cell_length_c 6.4271
_cell_angle_alpha 90.00
_cell_angle_beta 90.00
_cell_angle_gamma 120.00
loop_
_symmetry_equiv_pos_as_xyz
'x,y,z'
loop_
_atom_site_label
_atom_site_fract_x
_atom_site_fract_y
_atom_site_fract_z
Os1 0.3333 0.6667 0.3523
Os2 0.6667 0.3333 0.8523
Pt1 0.3333 0.6667 0.7297
Pt2 0.6667 0.3333 0.2297
```

Computed properties:
calculated total energy	-7.2551	eV/atom
formation energy from the elements	2.76	eV per formula unit
V	22.3	A^3/atom
density of states at the Fermi level	5.28	states/eV per cell

***

Record 2
A plane-wave DFT calculation with GGA-PBE was carried out for a relaxed OsPt5 crystal.

Cell and atoms, written as CIF:
```
data_OsPt5
_chemical_formula_sum 'Os1 Pt5'
_symmetry_space_group_name_H-M 'P 1'
_symmetry_Int_Tables_number 1
_cell_length_a 7.3772
_cell_length_b 7.3772
_cell_length_c 4.6417
_cell_angle_alpha 90.00
_cell_angle_beta 90.00
_cell_angle_gamma 158.38
loop_
_symmetry_equiv_pos_as_xyz
'x,y,z'
loop_
_atom_site_label
_atom_site_fract_x
_atom_site_fract_y
_atom_site_fract_z
Os1 0.9994 0.0006 0.0000
Pt1 0.2246 0.7754 0.5000
Pt2 0.3361 0.6639 0.0000
Pt3 0.5545 0.4455 0.5000
Pt4 0.6611 0.3389 0.0000
Pt5 0.8910 0.1090 0.5000
```

Computed properties:
calculated total energy	-6.7730	eV/atom
formation energy from the elements	0.80	eV per formula unit
V	15.5	A^3/atom
density of states at the Fermi level	12.00	states/eV per cell

***

Record 3
A plane-wave DFT calculation with GGA-PBE was carried out for a relaxed OsPt crystal.

Cell and atoms, written as CIF:
```
data_OsPt
_chemical_formula_sum 'Os8 Pt8'
_symmetry_space_group_name_H-M 'P 1'
_symmetry_Int_Tables_number 1
_cell_length_a 7.2663
_cell_length_b 4.6614
_cell_length_c 7.5546
_cell_angle_alpha 90.00
_cell_angle_beta 90.00
_cell_angle_gamma 90.00
loop_
_symmetry_equiv_pos_as_xyz
'x,y,z'
loop_
_atom_site_label
_atom_site_fract_x
_atom_site_fract_y
_atom_site_fract_z
Os1 0.6342 0.0083 0.9880
Os2 0.1342 0.4917 0.0120
Os3 0.3658 0.5083 0.5120
Os4 0.8658 0.9917 0.4880
Os5 0.0672 0.6711 0.6887
Os6 0.5672 0.8289 0.3113
Os7 0.9328 0.1711 0.8113
Os8 0.4328 0.3289 0.1887
Pt1 0.9788 0.9910 0.1425
Pt2 0.4788 0.5090 0.8575
Pt3 0.0212 0.4910 0.3575
Pt4 0.5212 0.0090 0.6425
Pt5 0.2735 0.9931 0.9158
Pt6 0.7735 0.5069 0.0842
Pt7 0.7265 0.4931 0.5842
Pt8 0.2265 0.0069 0.4158
```

Computed properties:
calculated total energy	-8.3084	eV/atom
formation energy from the elements	0.65	eV per formula unit
V	16.0	A^3/atom
density of states at the Fermi level	16.32	states/eV per cell

***

Record 4
A plane-wave DFT calculation with GGA-PBE was carried out for a relaxed OsPt7 crystal.

Cell and atoms, written as CIF:
```
data_OsPt7
_chemical_formula_sum 'Os1 Pt7'
_symmetry_space_group_name_H-M 'P 1'
_symmetry_Int_Tables_number 1
_cell_length_a 5.5935
_cell_length_b 5.5935
_cell_length_c 5.5935
_cell_angle_alpha 60.00
_cell_angle_beta 60.00
_cell_angle_gamma 60.00
loop_
_symmetry_equiv_pos_as_xyz
'x,y,z'
loop_
_atom_site_label
_atom_site_fract_x
_atom_site_fract_y
_atom_site_fract_z
Os1 0.0000 0.0000 0.0000
Pt1 0.0000 0.0000 0.5000
Pt2 0.0000 0.5000 0.0000
Pt3 0.0000 0.5000 0.5000
Pt4 0.5000 0.0000 0.0000
Pt5 0.5000 0.0000 0.5000
Pt6 0.5000 0.5000 0.0000
Pt7 0.5000 0.5000 0.5000
```

Computed properties:
calculated total energy	-6.6142	eV/atom
formation energy from the elements	0.60	eV per formula unit
V	15.5	A^3/atom
density of states at the Fermi level	10.14	states/eV per cell

***

Record 5
A plane-wave DFT calculation with GGA-PBE was carried out for a relaxed OsPt crystal.

Cell and atoms, written as CIF:
```
data_OsPt
_chemical_formula_sum 'Os2 Pt2'
_symmetry_space_group_name_H-M 'P 1'
_symmetry_Int_Tables_number 1
_cell_length_a 9.3040
_cell_length_b 9.3040
_cell_length_c 9.3040
_cell_angle_alpha 17.00
_cell_angle_beta 17.00
_cell_angle_gamma 17.00
loop_
_symmetry_equiv_pos_as_xyz
'x,y,z'
loop_
_atom_site_label
_atom_site_fract_x
_atom_site_fract_y
_atom_site_fract_z
Os1 0.9962 0.9962 0.9962
Os2 0.2538 0.2538 0.2538
Pt1 0.5024 0.5024 0.5024
Pt2 0.7476 0.7476 0.7476
```

Computed properties:
calculated total energy	-8.6172	eV/atom
formation energy from the elements	0.04	eV per formula unit
V	15.0	A^3/atom
density of states at the Fermi level	4.64	states/eV per cell

***

Record 6
A plane-wave DFT calculation with GGA-PBE was carried out for a relaxed Os4Pt5 crystal.

Cell and atoms, written as CIF:
```
data_Os4Pt5
_chemical_formula_sum 'Os4 Pt5'
_symmetry_space_group_name_H-M 'P 1'
_symmetry_Int_Tables_number 1
_cell_length_a 8.3552
_cell_length_b 8.3552
_cell_length_c 6.2196
_cell_angle_alpha 47.80
_cell_angle_beta 47.80
_cell_angle_gamma 90.00
loop_
_symmetry_equiv_pos_as_xyz
'x,y,z'
loop_
_atom_site_label
_atom_site_fract_x
_atom_site_fract_y
_atom_site_fract_z
Os1 0.0000 0.3465 0.0000
Os2 0.0000 0.6535 0.0000
Os3 0.3465 0.0000 0.0000
Os4 0.6535 0.0000 0.0000
Pt1 0.0000 0.0000 0.0000
Pt2 0.3299 0.3299 0.0000
Pt3 0.3299 0.6701 0.0000
Pt4 0.6701 0.3299 0.0000
Pt5 0.6701 0.6701 0.0000
```

Computed properties:
calculated total energy	-8.2727	eV/atom
formation energy from the elements	0.67	eV per formula unit
V	15.1	A^3/atom
density of states at the Fermi level	10.13	states/eV per cell